Entry 1:
Material: TlIn2Sn2
Method: DFT, GGA-PBEsol
State: optimized geometry

a = 5.089 Å, b = 5.089 Å, c = 11.436 Å
α = 90.00°, β = 90.00°, γ = 90.00°
Space group I4/mmm (No. 139)
Symmetry-distinct sites (fractional):
1 Tl 0.000 0.000 0.000
2 In 0.000 0.500 0.250
3 Sn 0.000 0.000 0.378

Summary:
Calculated total energy   -3.354 eV per atom
Total magnetic moment   0.0000 μB/atom
Energy relative to the lowest polymorph listed for this composition   30 meV/atom
Calculated volume   29.6 Å³ per atom

***

Entry 2:
Material: TlInSn2
Method: DFT, GGA-PBEsol
State: optimized geometry

a = 4.398 Å, b = 4.398 Å, c = 22.599 Å
α = 90.00°, β = 90.00°, γ = 90.00°
Space group I-42d (No. 122)
Symmetry-distinct sites (fractional):
1 Tl 0.000 0.000 0.000
2 In 0.000 0.000 0.500
3 Sn 0.248 0.250 0.625

Summary:
Calculated total energy   -3.467 eV per atom
Total magnetic moment   0.0000 μB/atom
Energy relative to the lowest polymorph listed for this composition   16 meV/atom
Calculated volume   27.3 Å³ per atom

***

Entry 3:
Material: TlIn2Sn2
Method: DFT, GGA-PBEsol
State: optimized geometry

a = 8.849 Å, b = 8.849 Å, c = 3.445 Å
α = 90.00°, β = 90.00°, γ = 90.00°
Space group P4/mbm (No. 127)
Symmetry-distinct sites (fractional):
1 Tl 0.000 0.000 0.000
2 In 0.153 0.347 0.500
3 Sn 0.144 0.644 0.000

Summary:
Calculated total energy   -3.384 eV per atom
Total magnetic moment   0.0000 μB/atom
Energy relative to the lowest polymorph listed for this composition   0 meV/atom
Calculated volume   27.0 Å³ per atom